[1]
Compound: Li2YTe
Source: Alexandria via LeMat-Bulk
Functional: GGA-PBE
Structure: optimized geometry

Values from the calculation:
- Theoretical density: 4436 kg/m3
- Relative energy among the computed polymorphs: 0.348 eV/atom
- E_form (uncorrected): -0.24 eV/atom
- Magnetization: 0.00 μB per cell
- Electronic total energy: -3.5980 eV/atom
- D(E_F): 2.8 states/eV/f.u.

abc: 4.959 4.959 4.959
angles: 60.00 60.00 60.00
Atoms (fractional coordinates):
Li  0.250  0.250  0.250
Li  0.750  0.750  0.750
Y  0.000  0.000  0.000
Te  0.500  0.500  0.500


[2]
Compound: SrGa3Cl
Source: Alexandria via LeMat-Bulk
Functional: GGA-PBE
Structure: optimized geometry

Values from the calculation:
- Theoretical density: 3689 kg/m3
- Relative energy among the computed polymorphs: 0.000 eV/atom
- E_form (uncorrected): -0.08 eV/atom
- Magnetization: 0.00 μB per cell
- Electronic total energy: -2.6037 eV/atom
- D(E_F): 2.9 states/eV/f.u.

abc: 5.308 5.308 5.308
angles: 90.00 90.00 90.00
Atoms (fractional coordinates):
Sr  0.000  0.000  0.000
Ga  0.000  0.500  0.500
Ga  0.500  0.000  0.500
Ga  0.500  0.500  0.000
Cl  0.500  0.500  0.500


[3]
Compound: Rb2Cd3H6S3O16
Source: Alexandria via LeMat-Bulk
Functional: GGA-PBE
Structure: optimized geometry

Values from the calculation:
- Theoretical density: 3548 kg/m3
- Magnetization: 0.00 μB per cell
- Electronic total energy: -5.2611 eV/atom
- D(E_F): 0.0 states/eV/f.u.

abc: 10.281 10.281 10.378
angles: 90.00 90.00 47.68
Atoms (fractional coordinates):
Rb  0.146  0.228  0.000
Rb  0.228  0.146  0.500
Rb  0.772  0.854  0.000
Rb  0.854  0.772  0.500
Cd  0.186  0.814  0.767
Cd  0.373  0.439  0.054
Cd  0.439  0.373  0.554
Cd  0.561  0.627  0.054
Cd  0.627  0.561  0.554
Cd  0.814  0.186  0.267
H  0.081  0.571  0.217
H  0.100  0.712  0.220
H  0.288  0.900  0.220
H  0.429  0.919  0.217
H  0.435  0.565  0.882
H  0.446  0.554  0.246
H  0.554  0.446  0.746
H  0.565  0.435  0.382
H  0.571  0.081  0.717
H  0.712  0.100  0.720
H  0.900  0.288  0.720
H  0.919  0.429  0.717
S  0.122  0.517  0.776
S  0.191  0.809  0.437
S  0.483  0.878  0.776
S  0.517  0.122  0.276
S  0.809  0.191  0.937
S  0.878  0.483  0.276
O  0.025  0.475  0.301
O  0.048  0.703  0.775
O  0.087  0.913  0.318
O  0.088  0.912  0.555
O  0.101  0.636  0.162
O  0.199  0.434  0.646
O  0.227  0.642  0.431
O  0.257  0.411  0.878
O  0.297  0.952  0.775
O  0.348  0.652  0.945
O  0.358  0.773  0.431
O  0.364  0.899  0.162
O  0.411  0.257  0.378
O  0.434  0.199  0.146
O  0.464  0.536  0.685
O  0.475  0.025  0.801
O  0.525  0.975  0.301
O  0.536  0.464  0.185
O  0.566  0.801  0.646
O  0.589  0.743  0.878
O  0.636  0.101  0.662
O  0.642  0.227  0.931
O  0.652  0.348  0.445
O  0.703  0.048  0.275
O  0.743  0.589  0.378
O  0.773  0.358  0.931
O  0.801  0.566  0.146
O  0.899  0.364  0.662
O  0.912  0.088  0.055
O  0.913  0.087  0.818
O  0.952  0.297  0.275
O  0.975  0.525  0.801